A plane-wave DFT calculation with GGA-PBE was carried out for a relaxed YHf2ScBe crystal.

Unit cell a=4.794 b=5.172 c=4.794 alpha=90.00 beta=90.00 gamma=90.00
Fractional positions:
Hf: 0.500 0.000 0.000
Hf: 0.000 0.000 0.500
Sc: 0.500 0.500 0.500
Be: 0.000 0.000 0.000
Y: 0.000 0.500 0.000

Values from the calculation:
M_tot in μB/atom: 0.000
Symmetry: P4/mmm, No. 123
Total DFT energy (no corrections) in eV per atom: -6.8896
DOS(E_F) in states/eV per atom: 1.5438
ΔE_f in eV per atom: 0.396


A plane-wave DFT calculation with GGA-PBE was carried out for a relaxed GaReOs2 crystal.

Unit cell a=5.797 b=5.797 c=6.621 alpha=64.04 beta=64.04 gamma=90.00
Fractional positions:
Os: 0.375 0.366 0.750
Os: 0.116 0.625 0.250
Os: 0.634 0.125 0.250
Os: 0.875 0.884 0.750
Ga: 0.250 0.750 0.500
Ga: 0.500 0.500 0.000
Re: 0.000 0.000 0.000
Re: 0.750 0.250 0.500

Values from the calculation:
M_tot in μB/atom: 0.000
Symmetry: I-42d, No. 122
Total DFT energy (no corrections) in eV per atom: -8.2848
DOS(E_F) in states/eV per atom: 0.1984
ΔE_f in eV per atom: 1.199